# 1
Computed, not measured: a geometry-optimized TbYErN3 structure at the PBE-GGA level of DFT.

Geometry as extended XYZ:
```
12
Lattice="-2.277 -1.245 -2.237 0.678 -5.446 2.341 -6.707 3.220 5.037" Properties=species:S:1:pos:R:3 pbc="T T T"
Er -4.737 0.900 3.010
Er -3.570 -4.371 2.132
N -4.893 -0.679 1.424
N -3.413 -2.793 3.718
N -2.499 -3.303 0.447
N -2.745 -0.630 -0.791
N -5.562 -2.842 5.933
N -5.808 -0.168 4.695
Y -0.357 -4.347 1.471
Y -7.950 0.875 3.670
Tb -2.362 -1.197 1.759
Tb -5.945 -2.275 3.382
```

Summary:
Its space group is P2_1/m, No. 11. The calculation puts the final energy at -8.245 eV/atom.

---

# 2
Computed, not measured: a geometry-optimized Tb3ErZr2N6 structure at the PBE-GGA level of DFT.

Geometry as extended XYZ:
```
12
Lattice="5.867 -0.001 0.001 -2.933 5.081 0.001 -0.978 -1.693 5.563" Properties=species:S:1:pos:R:3 pbc="T T T"
Zr 2.932 1.694 0.001
Zr 0.002 3.386 0.001
Er 0.000 0.000 0.000
N -0.049 3.386 4.259
N 1.930 3.343 1.296
N 2.957 1.650 4.259
N 0.025 0.044 4.269
N -1.001 1.736 1.305
N 2.004 0.000 1.305
Tb -1.958 3.389 2.782
Tb 3.914 -0.002 2.782
Tb 0.978 1.693 2.782
```

Summary:
Its space group is C2/m, No. 12. The calculation puts the final energy at -8.853 eV/atom.

---

# 3
Computed, not measured: a geometry-optimized Tb2ErZr3N6 structure at the PBE-GGA level of DFT.

Geometry as extended XYZ:
```
12
Lattice="5.789 0.003 -0.001 -2.890 5.016 -0.001 -0.968 -1.675 5.518" Properties=species:S:1:pos:R:3 pbc="T T T"
N 2.884 1.689 4.042
N 1.943 3.364 1.471
N -0.953 1.655 1.474
N 1.910 0.001 1.474
N 0.022 3.342 4.042
N -0.011 -0.020 4.046
Zr 3.864 -0.002 2.758
Zr -1.933 3.346 2.758
Zr 0.966 1.672 2.758
Tb 0.003 3.345 -0.001
Tb 2.895 1.674 -0.001
Er 0.000 0.000 0.000
```

Summary:
Its space group is C2/m, No. 12. The calculation puts the final energy at -9.179 eV/atom.

---

# 4
Computed, not measured: a geometry-optimized TbErZrN3 structure at the PBE-GGA level of DFT.

Geometry as extended XYZ:
```
12
Lattice="3.354 0.000 0.000 0.000 5.736 0.298 0.000 -2.048 8.605" Properties=species:S:1:pos:R:3 pbc="T T T"
N 2.516 2.800 1.473
N 0.839 3.792 7.630
N 0.839 0.888 7.430
N 2.516 -0.103 1.273
N 2.516 0.424 4.280
N 0.839 3.264 4.623
Zr 2.516 -0.606 8.296
Zr 0.839 4.295 0.607
Er 0.839 -0.413 5.529
Er 2.516 4.102 3.374
Tb 0.839 1.300 2.634
Tb 2.516 2.389 6.269
```

Summary:
Its space group is P2_1/m, No. 11. The calculation puts the final energy at -8.621 eV/atom.

---

# 5
Computed, not measured: a geometry-optimized Tb2ErZrN4 structure at the PBE-GGA level of DFT.

Geometry as extended XYZ:
```
8
Lattice="3.403 0.000 0.000 0.000 5.898 0.111 0.000 -2.054 5.544" Properties=species:S:1:pos:R:3 pbc="T T T"
Tb 0.000 1.922 2.828
Tb 1.701 -1.027 2.772
N 1.701 0.921 1.327
N 1.701 2.923 4.328
N 0.000 3.963 1.406
N 0.000 -0.120 4.249
Zr 0.000 0.000 0.000
Er 1.701 2.949 0.056
```

Summary:
Its space group is P2/m, No. 10. The calculation puts the final energy at -8.690 eV/atom.

---

# 6
Computed, not measured: a geometry-optimized ErTcN structure at the PBE-GGA level of DFT.

Geometry as extended XYZ:
```
3
Lattice="2.885 0.000 0.000 0.000 2.885 0.000 -1.442 -1.442 5.015" Properties=species:S:1:pos:R:3 pbc="T T T"
Er 0.000 0.000 0.159
N 1.442 1.442 1.973
Tc 0.000 0.000 2.883
```

Summary:
The value obtained for the excess energy over the best structure of this formula in the dataset is 316 kJ/mol of formula units. Its space group is I4mm, No. 107. The calculation puts the final energy at -7.682 eV/atom.

---

# 7
Computed, not measured: a geometry-optimized ErTcN structure at the PBE-GGA level of DFT.

Geometry as extended XYZ:
```
12
Lattice="3.320 0.000 0.000 0.000 3.320 0.000 0.000 0.000 15.637" Properties=species:S:1:pos:R:3 pbc="T T T"
Tc 2.490 2.490 7.194
Tc 2.490 2.490 15.013
Tc 0.830 0.830 8.443
Tc 0.830 0.830 0.624
Er 0.830 0.830 5.128
Er 2.490 2.490 10.509
Er 0.830 0.830 12.947
Er 2.490 2.490 2.690
N 0.830 0.830 2.747
N 2.490 2.490 5.071
N 0.830 0.830 10.566
N 2.490 2.490 12.890
```

Summary:
The value obtained for the excess energy over the best structure of this formula in the dataset is 0 kJ/mol of formula units. Its space group is P4/nmm, No. 129. The calculation puts the final energy at -8.775 eV/atom.

---

# 8
Computed, not measured: a geometry-optimized Er3Tc5N12 structure at the PBE-GGA level of DFT.

Geometry as extended XYZ:
```
80
Lattice="10.927 0.000 0.000 -3.642 10.302 0.000 -3.642 -5.151 8.922" Properties=species:S:1:pos:R:3 pbc="T T T"
N 5.579 2.975 3.409
N 0.115 3.287 3.589
N -1.937 2.176 5.513
N 2.403 6.522 0.872
N -0.582 3.780 0.872
N 7.169 1.111 0.180
N 2.403 3.710 0.751
N 1.239 -1.371 8.050
N 1.937 -1.864 5.333
N -2.300 5.985 7.118
N -0.479 0.833 1.804
N -3.758 7.327 3.409
N 6.339 -3.676 7.870
N 7.400 -2.176 5.513
N 7.867 5.221 1.624
N 4.882 5.081 1.624
N -1.937 -4.040 8.742
N 4.984 5.748 4.641
N -3.163 4.554 4.641
N -4.588 2.749 6.265
N 4.122 4.318 7.118
N 1.342 3.721 6.085
N 1.239 1.441 8.171
N 1.706 7.015 3.589
N 4.518 1.475 1.052
N 4.588 -0.927 5.212
N 2.300 1.430 2.837
N 8.230 2.402 2.657
N 0.479 6.582 6.085
N -3.527 4.040 8.742
N -0.946 6.078 3.710
N -4.224 -0.070 7.298
N 3.527 1.864 5.333
N 2.767 4.224 3.710
N 0.876 0.927 5.212
N 4.224 1.371 8.050
N -0.582 6.592 0.751
N -0.876 3.676 7.870
N -1.239 0.070 7.298
N -2.697 8.827 1.052
N 5.943 -0.833 1.804
N -1.342 -0.597 4.281
N 6.806 0.597 4.281
N -0.876 -2.749 6.265
N 4.224 -1.441 8.171
N 4.518 7.901 2.657
N 5.579 9.191 0.180
N 3.163 -1.430 2.837
Er -2.732 1.932 7.807
Er 4.553 0.644 3.346
Er -0.911 4.507 5.576
Er -4.553 5.151 6.692
Er 6.374 7.083 1.115
Er 0.911 -0.644 3.346
Er 6.374 3.219 1.115
Er 8.195 0.000 2.231
Er 0.911 5.151 2.231
Er -2.732 -1.932 7.807
Er 2.732 0.000 6.692
Er 2.732 5.795 5.576
Tc 4.553 -3.219 7.807
Tc 3.642 -2.576 4.461
Tc -1.821 -2.576 4.461
Tc 4.553 2.576 6.692
Tc -1.821 5.151 0.000
Tc 0.911 -2.576 6.692
Tc 2.732 1.932 1.115
Tc 6.374 -0.644 5.576
Tc 1.821 2.576 4.461
Tc -0.911 2.576 2.231
Tc 2.732 7.727 2.231
Tc -0.911 8.371 1.115
Tc 0.000 0.000 0.000
Tc 3.642 5.151 0.000
Tc 5.464 0.000 0.000
Tc 4.553 4.507 3.346
Tc -0.911 0.644 5.576
Tc -2.732 5.795 3.346
Tc 0.911 3.219 7.807
Tc -3.642 2.576 4.461
```

Summary:
Its space group is Ia-3d, No. 230. The calculation puts the final energy at -8.715 eV/atom.

---

# 9
Computed, not measured: a geometry-optimized Er4Te3N2 structure at the PBE-GGA level of DFT.

Geometry as extended XYZ:
```
9
Lattice="3.594 0.000 0.000 -1.797 6.886 0.287 0.000 -2.469 8.395" Properties=species:S:1:pos:R:3 pbc="T T T"
Te 0.000 3.984 5.172
Te 1.797 0.434 3.510
Te 0.000 0.000 0.000
Er 1.797 2.273 0.916
Er 1.797 4.879 2.758
Er 0.000 2.144 7.766
Er 0.000 -0.462 5.923
N 0.000 3.740 1.477
N 1.797 0.677 7.205
```

Summary:
The value obtained for the excess energy over the best structure of this formula in the dataset is 122 kJ/mol of formula units. Its space group is C2/m, No. 12. The calculation puts the final energy at -6.300 eV/atom.

---

# 10
Computed, not measured: a geometry-optimized Er5Te2N structure at the PBE-GGA level of DFT.

Geometry as extended XYZ:
```
16
Lattice="4.168 0.000 0.000 -2.084 8.154 0.000 0.000 0.000 14.146" Properties=species:S:1:pos:R:3 pbc="T T T"
Er 0.000 1.902 1.826
Er 0.000 5.103 6.389
Er 2.084 6.252 8.899
Er 2.084 4.295 3.536
Er 0.000 3.860 10.609
Er 2.084 6.252 12.320
Er 0.000 5.103 0.684
Er 2.084 3.052 13.462
Er 0.000 1.902 5.247
Er 2.084 3.052 7.757
Te 0.000 1.187 12.466
Te 2.084 6.967 5.393
Te 0.000 1.187 8.753
Te 2.084 6.967 1.680
N 2.084 4.825 10.609
N 0.000 3.329 3.536
```

Summary:
Its space group is Cmcm, No. 63. The calculation puts the final energy at -5.399 eV/atom.

---

# 11
Computed, not measured: a geometry-optimized Er12Te3N5 structure at the PBE-GGA level of DFT.

Geometry as extended XYZ:
```
80
Lattice="13.390 0.000 0.000 -4.463 12.624 0.000 -4.463 -6.312 10.933" Properties=species:S:1:pos:R:3 pbc="T T T"
Er 5.325 -1.810 9.958
Er 2.745 1.885 3.411
Er 3.094 4.502 0.975
Er -4.338 5.023 10.860
Er 5.445 9.571 3.338
Er -3.950 5.572 5.540
Er 2.106 8.760 4.386
Er 5.714 -1.261 6.442
Er 6.181 7.053 5.540
Er -2.745 7.457 8.804
Er 8.413 0.740 5.393
Er 8.801 1.289 0.073
Er 1.370 1.810 9.958
Er 10.177 3.053 3.338
Er 9.789 6.373 2.055
Er 5.325 1.750 9.853
Er 3.950 -1.885 3.411
Er -5.325 -0.061 8.877
Er 7.209 -1.144 2.129
Er 6.820 3.737 4.313
Er 5.445 1.792 1.153
Er 0.125 3.864 4.386
Er -0.862 4.562 1.080
Er -2.357 2.575 6.620
Er 4.977 5.168 8.804
Er -4.589 8.887 4.313
Er 2.357 -2.448 6.547
Er 6.820 11.335 0.073
Er -1.250 7.573 4.491
Er -0.514 1.144 2.129
Er 1.718 4.427 7.522
Er -0.862 8.122 0.975
Er 3.482 5.051 4.491
Er 7.676 -4.520 9.780
Er 5.833 6.252 2.055
Er -1.370 0.061 8.877
Er 0.514 8.197 7.522
Er -0.981 4.520 9.780
Er 1.370 -1.750 9.853
Er -2.357 -5.023 10.860
Er -5.714 3.259 7.595
Er -1.718 -0.740 5.393
Er 0.981 1.261 6.442
Er 9.052 -2.575 6.620
Er 4.338 2.448 6.547
Er -0.981 -3.259 7.595
Er 3.094 8.062 1.080
Er -3.213 10.832 1.153
N 1.116 -3.156 8.200
N -1.116 3.156 2.733
N 4.463 6.312 0.000
N 5.579 3.156 8.200
N 5.579 5.523 4.100
N 0.000 0.000 0.000
N 1.116 3.945 9.566
N -2.232 -3.156 5.466
N 3.347 9.468 2.733
N -1.116 0.789 6.833
N 6.695 0.000 0.000
N 5.579 -3.945 9.566
N 3.347 2.367 1.367
N -2.232 6.312 0.000
N 2.232 3.156 5.466
N -1.116 10.257 1.367
N -4.463 3.156 5.466
N 4.463 -3.156 5.466
N 7.811 -0.789 6.833
N -3.347 7.101 4.100
Te -5.579 6.312 8.200
Te 7.811 3.945 1.367
Te 7.811 8.679 1.367
Te 3.347 0.000 8.200
Te -3.347 -2.367 9.566
Te 1.116 6.312 2.733
Te 10.042 0.000 2.733
Te -3.347 2.367 9.566
Te 5.579 0.789 4.100
Te -1.116 5.523 6.833
Te 3.347 7.101 6.833
Te 1.116 -0.789 4.100
```

Summary:
Its space group is Ia-3d, No. 230. The calculation puts the final energy at -6.317 eV/atom.

---

# 12
Computed, not measured: a geometry-optimized Er4Te3N structure at the PBE-GGA level of DFT.

Geometry as extended XYZ:
```
16
Lattice="5.949 0.000 0.000 0.000 7.908 0.000 0.000 0.000 9.928" Properties=species:S:1:pos:R:3 pbc="T T T"
Te 3.365 2.823 7.553
Te 0.390 5.085 2.589
Te 3.365 2.823 2.375
Te 3.481 5.915 0.000
Te 0.390 5.085 7.338
Te 0.507 1.993 4.964
Er 3.605 1.006 0.000
Er 0.380 1.845 2.015
Er 3.354 6.063 6.979
Er 0.498 6.834 0.000
Er 3.473 1.074 4.964
Er 3.354 6.063 2.949
Er 0.380 1.845 7.913
Er 0.630 6.902 4.964
N 5.839 1.082 0.000
N 2.865 6.826 4.964
```

Summary:
Its space group is Pmn2_1, No. 31. The calculation puts the final energy at -5.672 eV/atom.

---

# 13
Computed, not measured: a geometry-optimized Er3Te2N structure at the PBE-GGA level of DFT.

Geometry as extended XYZ:
```
12
Lattice="5.967 0.000 0.000 0.000 8.155 0.010 0.000 -3.986 7.114" Properties=species:S:1:pos:R:3 pbc="T T T"
Te 5.920 3.366 1.474
Te 2.937 4.533 3.468
Te 2.937 0.802 5.651
Te 5.920 -0.364 3.657
N 3.239 0.625 1.068
N 0.256 3.544 6.056
Er 2.651 3.730 6.375
Er 2.942 -0.599 2.850
Er 5.635 0.438 0.749
Er 5.925 4.767 4.274
Er 5.925 1.391 6.250
Er 2.942 2.778 0.874
```

Summary:
Its space group is Cmc2_1, No. 36. The calculation puts the final energy at -5.893 eV/atom.

---

# 14
Computed, not measured: a geometry-optimized Er4Te3N2 structure at the PBE-GGA level of DFT.

Geometry as extended XYZ:
```
9
Lattice="4.052 0.000 0.000 -2.026 6.226 -3.113 0.000 -0.780 9.270" Properties=species:S:1:pos:R:3 pbc="T T T"
Er 0.000 3.211 6.054
Er 2.026 4.082 3.106
Er 2.026 2.235 0.102
Er 0.000 1.364 3.051
Te 0.000 4.510 0.128
Te 2.026 0.936 6.028
Te 0.000 0.000 0.000
N 0.000 3.374 3.946
N 2.026 2.071 2.211
```

Summary:
The value obtained for the excess energy over the best structure of this formula in the dataset is 0 kJ/mol of formula units. Its space group is C2/m, No. 12. The calculation puts the final energy at -6.440 eV/atom.

---

# 15
Computed, not measured: a geometry-optimized ErThTe2N structure at the PBE-GGA level of DFT.

Geometry as extended XYZ:
```
10
Lattice="-3.206 1.862 -1.997 -2.603 -3.014 1.370 -3.074 8.503 12.868" Properties=species:S:1:pos:R:3 pbc="T T T"
Te -4.415 8.711 10.775
Te -3.433 4.388 9.606
Te -1.563 -0.784 1.779
Te -2.546 3.539 2.949
Th -2.622 2.146 6.212
Th -3.356 5.782 6.342
N -4.442 3.676 6.120
N -1.537 4.252 6.434
Er -1.989 1.998 0.616
Er -3.990 5.929 11.938
```

Summary:
Its space group is P4/nmm, No. 129. The calculation puts the final energy at -6.844 eV/atom.

---

# 16
Computed, not measured: a geometry-optimized ErUTeN2 structure at the PBE-GGA level of DFT.

Geometry as extended XYZ:
```
5
Lattice="-1.848 3.417 -0.374 -3.291 -1.882 -0.927 0.979 -0.966 6.697" Properties=species:S:1:pos:R:3 pbc="T T T"
N -1.702 1.611 2.772
N -2.424 -1.038 2.496
Er -3.647 0.633 3.447
Te -2.583 0.766 -0.600
U -0.533 -0.067 2.026
```

Summary:
Its space group is I4mm, No. 107. The calculation puts the final energy at -8.633 eV/atom.

---

The following total moment values (in μB/f.u.) correspond, in order, to the records above: 0.00; 0.00; 0.00; 0.00; 0.00; 0.02; 0.00; 0.00; 0.00; 0.00; 0.01; 0.00; 0.00; 0.00; 0.00; 1.00.